An optimized crystal structure of Y2Tm2Au3, computed with PBE.

Cell and atoms, written as POSCAR:
```
Y2Tm2Au3
1.0
4.806 -0.002 -1.348
-2.592 4.269 -0.006
-0.152 -0.099 8.775
Tm Au Y
2 3 2
Cartesian
-0.548 2.583 7.353
2.609 1.586 0.069
0.444 3.191 1.603
0.000 0.000 0.000
1.617 0.978 5.818
1.244 3.672 4.476
0.817 0.497 2.945
```

## Properties
Density of states at the Fermi level: 5.0 states/eV/f.u.
Total magnetic moment: 0.00 μB/cell
Energy relative to the elements: -0.70 eV per atom